Density functional theory data (PBE-GGA) for an optimized crystal structure of Ac6InIr2Cl3.

Computed properties:
VASP energy in eV per atom: -5.37
Formation energy (no corrections) in meV/atom: -1145
M_tot in Bohr magnetons per cell: 0.0

Cell lengths 4.3443, 9.3563, 11.0190 Å; angles 105.01, 101.37, 90.00 degrees
Last column: nearest neighbours and their distance in Å.
Positions (direct):
Ac 0.3365 0.8787 0.6730  2 Ir 3.00, 3 Cl 3.29-3.34
Ac 0.6635 0.1213 0.3270  2 Ir 3.00, 3 Cl 3.29-3.34
Ac 0.9691 0.7197 0.9382  1 Ir 2.93, 2 Cl 3.18
Ac 0.3139 0.4272 0.6277  3 Ir 2.98-3.00
Ac 0.6861 0.5728 0.3723  3 Ir 2.98-3.00
Ac 0.0309 0.2803 0.0618  1 Ir 2.93, 2 Cl 3.18
Ir 0.1710 0.3457 0.3420  6 Ac 2.93-3.00
Ir 0.8290 0.6543 0.6580  6 Ac 2.93-3.00
Cl 0.1827 0.8651 0.3655  5 Ac 3.29-3.51
Cl 0.5000 0.5000 0.0000  4 Ac 3.18
Cl 0.8173 0.1349 0.6345  5 Ac 3.29-3.51
In 0.5000 0.0000 0.0000  6 Ac 3.33-3.41

***

Density functional theory data (PBE-GGA) for an optimized crystal structure of KAcIn2Cl6.

Computed properties:
VASP energy in eV per atom: -3.87
Formation energy (no corrections) in meV/atom: -1694
M_tot in Bohr magnetons per cell: 0.0

Cell lengths 7.9862, 7.9859, 8.2143 Å; angles 60.89, 60.89, 59.96 degrees
Last column: nearest neighbours and their distance in Å.
Positions (direct):
Cl 0.4271 0.6785 0.7628  1 Ac 2.91, 1 K 3.15, 2 In 3.16-3.24
Cl 0.9669 0.5920 0.2494  1 Ac 2.88, 1 In 3.22
Cl 0.6787 0.1310 0.7632  1 Ac 2.91, 1 K 3.15, 2 In 3.16-3.24
Cl 0.1315 0.4272 0.7629  1 Ac 2.91, 1 K 3.15, 2 In 3.16-3.24
Cl 0.5915 0.1919 0.2496  1 Ac 2.88, 1 In 3.22
Cl 0.1917 0.9670 0.2497  1 Ac 2.88, 1 In 3.22
Ac 0.3181 0.3180 0.0458  6 Cl 2.88-2.91
In 0.5240 0.5240 0.4280  6 Cl 3.16-3.33
In 0.0208 0.0208 0.9377  6 Cl 3.22-3.24
K 0.8112 0.8113 0.5660  6 Cl 3.15-3.24

***

Density functional theory data (PBE-GGA) for an optimized crystal structure of AcInPbCl6.

Computed properties:
VASP energy in eV per atom: -4.04
Formation energy (no corrections) in meV/atom: -1632
M_tot in Bohr magnetons per cell: 0.0

Cell lengths 6.9989, 6.9989, 13.7041 Å; angles 90.00, 90.00, 90.00 degrees
Last column: nearest neighbours and their distance in Å.
Positions (direct):
Cl 0.3182 0.3182 0.9992  1 Ac 2.91, 1 Pb 2.92, 1 In 3.15
Cl 0.2041 0.7959 0.1810  1 Ac 2.90, 1 Pb 2.93, 1 In 3.20
Cl 0.7078 0.7078 0.3204  1 Ac 2.90, 1 Pb 2.95, 1 In 3.20
Cl 0.6818 0.6818 0.9992  1 Ac 2.91, 1 Pb 2.92, 1 In 3.15
Cl 0.7041 0.7041 0.6810  1 Ac 2.90, 1 Pb 2.93, 1 In 3.20
Cl 0.8182 0.1818 0.4992  1 Ac 2.91, 1 Pb 2.92, 1 In 3.15
Cl 0.7959 0.2041 0.1810  1 Ac 2.90, 1 Pb 2.93, 1 In 3.20
Cl 0.7922 0.2078 0.8204  1 Ac 2.90, 1 Pb 2.95, 1 In 3.20
Cl 0.1818 0.8182 0.4992  1 Ac 2.91, 1 Pb 2.92, 1 In 3.15
Cl 0.2959 0.2959 0.6810  1 Ac 2.90, 1 Pb 2.93, 1 In 3.20
Cl 0.2922 0.2922 0.3204  1 Ac 2.90, 1 Pb 2.95, 1 In 3.20
Cl 0.2078 0.7922 0.8204  1 Ac 2.90, 1 Pb 2.95, 1 In 3.20
In 0.0000 0.0000 0.9996  6 Cl 3.15-3.20
In 0.5000 0.5000 0.4996  6 Cl 3.15-3.20
Pb 0.0000 0.0000 0.6666  6 Cl 2.92-2.95
Pb 0.5000 0.5000 0.1666  6 Cl 2.92-2.95
Ac 0.5000 0.5000 0.8325  6 Cl 2.90-2.91
Ac 0.0000 0.0000 0.3325  6 Cl 2.90-2.91

***

Density functional theory data (PBE-GGA) for an optimized crystal structure of Rb2AcInCl6.

Computed properties:
VASP energy in eV per atom: -3.92
Formation energy (no corrections) in meV/atom: -1934
M_tot in Bohr magnetons per cell: 0.0

Cell lengths 7.9319, 8.3753, 11.3681 Å; angles 90.00, 88.15, 90.00 degrees
Last column: nearest neighbours and their distance in Å.
Positions (direct):
Cl 0.7918 0.8140 0.5576  1 Ac 2.88, 1 In 3.16
Cl 0.2918 0.6860 0.0576  1 Ac 2.88, 1 In 3.16
Cl 0.8206 0.7816 0.9252  1 Ac 2.90, 1 In 3.22
Cl 0.8711 0.5574 0.2367  1 Ac 2.89, 1 In 3.23
Cl 0.6289 0.0574 0.2633  1 Ac 2.89, 1 In 3.23
Cl 0.2082 0.1860 0.4424  1 Ac 2.88, 1 In 3.16
Cl 0.7082 0.3140 0.9424  1 Ac 2.88, 1 In 3.16
Cl 0.3206 0.7184 0.4252  1 Ac 2.90, 1 In 3.22
Cl 0.1794 0.2184 0.0748  1 Ac 2.90, 1 In 3.22
Cl 0.6794 0.2816 0.5748  1 Ac 2.90, 1 In 3.22
Cl 0.3711 0.9426 0.7367  1 Ac 2.89, 1 In 3.23
Cl 0.1289 0.4426 0.7633  1 Ac 2.89, 1 In 3.23
Rb 0.5280 0.5702 0.7570  6 Cl 3.34-3.66
Rb 0.0280 0.9298 0.2570  6 Cl 3.34-3.66
Rb 0.9720 0.0702 0.7430  6 Cl 3.34-3.66
Rb 0.4720 0.4298 0.2430  6 Cl 3.34-3.66
In 0.0000 0.5000 0.5000  6 Cl 3.16-3.23
In 0.5000 0.0000 0.0000  6 Cl 3.16-3.23
Ac 0.0000 0.5000 0.0000  6 Cl 2.88-2.90
Ac 0.5000 0.0000 0.5000  6 Cl 2.88-2.90

***

Q: VASP energy of number 2 (KAcIn2Cl6)?
A: -3.87 eV per atom